This record from the Alexandria database describes a PBEsol-optimized structure of TaRe2Br. The functional is meta-GGA SCAN.

abc: 2.853 4.704 4.839
angles: 90.00 92.36 90.00
Fractional coordinates of all 4 atoms:
Ta 0.000 0.000 0.000
Re 0.314 0.500 0.757
Re 0.686 0.500 0.243
Br 0.500 0.000 0.500

* energy above the lowest structure with this stoichiometry: 61.8 meV per atom
* SG: P2/m, No. 10
* size of the total moment: 0.00 μB per atom
* uncorrected energy: -56.159 eV/atom

***

This record from the Alexandria database describes a PBEsol-optimized structure of TaRe2Br. The functional is meta-GGA SCAN.

abc: 3.017 4.109 5.509
angles: 90.00 90.00 90.00
Fractional coordinates of all 4 atoms:
Ta 0.000 0.000 0.000
Re 0.500 0.500 0.213
Re 0.500 0.500 0.787
Br 0.000 0.000 0.500

* energy above the lowest structure with this stoichiometry: 0.0 meV per atom
* SG: Pmmm, No. 47
* size of the total moment: 0.00 μB per atom
* uncorrected energy: -56.221 eV/atom